[1]
Material: Ho3MgHg12
Method: DFT, PBE
State: relaxed

a b c (Å): 4.609 4.609 17.983
angles (deg): 90.00 90.00 90.00
Fractional positions:
Mg 0.000 0.000 0.000
Hg 0.500 0.000 0.880
Hg 0.000 0.500 0.120
Hg 0.000 0.500 0.627
Hg 0.500 0.500 0.247
Hg 0.000 0.500 0.880
Hg 0.500 0.500 0.753
Hg 0.500 0.000 0.627
Hg 0.500 0.000 0.373
Hg 0.500 0.500 0.000
Hg 0.500 0.500 0.500
Hg 0.500 0.000 0.120
Hg 0.000 0.500 0.373
Ho 0.000 0.000 0.500
Ho 0.000 0.000 0.239
Ho 0.000 0.000 0.761

Calculated values
The value obtained for the mass density is 12.72 g cm⁻³. The value obtained for the formation energy from the elements is -255 meV per atom.


[2]
Material: Fe6Pd12S
Method: DFT, PBE
State: relaxed

a b c (Å): 6.711 7.251 7.251
angles (deg): 69.07 72.03 107.97
Each line ends with the local moment (μB).
Fractional positions:
Pd 0.835 0.949 0.427  0.32
Pd 0.886 0.624 0.949  0.32
Pd 0.206 0.726 0.124  0.32
Pd 0.670 0.876 0.850  0.32
Pd 0.794 0.274 0.876  0.32
Pd 0.738 0.573 0.376  0.32
Pd 0.165 0.051 0.573  0.32
Pd 0.480 0.150 0.726  0.32
Pd 0.114 0.376 0.051  0.32
Pd 0.262 0.427 0.624  0.32
Pd 0.330 0.124 0.150  0.32
Pd 0.520 0.850 0.274  0.32
S 0.000 0.000 0.000  0.06
Fe 0.059 0.692 0.526  3.13
Fe 0.585 0.526 0.782  3.13
Fe 0.415 0.474 0.218  3.13
Fe 0.367 0.782 0.692  3.13
Fe 0.941 0.308 0.474  3.13
Fe 0.633 0.218 0.308  3.13

Calculated values
The value obtained for the mass density is 9.87 g cm⁻³. Its formation energy from raw total energies is -0.022 eV per atom.


[3]
Material: TbPPd
Method: DFT, PBE
State: relaxed

a b c (Å): 4.035 6.960 7.776
angles (deg): 90.00 90.00 90.00
Fractional positions:
Tb 0.250 0.971 0.688
Tb 0.750 0.529 0.188
Tb 0.750 0.029 0.312
Tb 0.250 0.471 0.812
P 0.250 0.747 0.378
P 0.750 0.253 0.622
P 0.250 0.247 0.122
P 0.750 0.753 0.878
Pd 0.750 0.649 0.561
Pd 0.250 0.351 0.439
Pd 0.250 0.851 0.061
Pd 0.750 0.149 0.939

Calculated values
The value obtained for the mass density is 9.01 g cm⁻³. The value obtained for the formation energy from the elements is -1262 meV per atom.


[4]
Material: LiSnS
Method: DFT, PBE
State: relaxed

a b c (Å): 5.963 3.649 11.395
angles (deg): 90.00 90.00 90.00
Fractional positions:
Sn 0.279 0.250 0.580
Sn 0.721 0.750 0.420
Sn 0.779 0.250 0.920
Sn 0.221 0.750 0.080
S 0.876 0.250 0.676
S 0.376 0.250 0.824
S 0.624 0.750 0.176
S 0.124 0.750 0.324
Li 0.603 0.750 0.721
Li 0.897 0.250 0.221
Li 0.397 0.250 0.279
Li 0.103 0.750 0.779

Calculated values
The value obtained for the mass density is 4.23 g cm⁻³. The distance to the lowest polymorph of the same formula is 184.3 meV/atom. Its formation energy from raw total energies is -0.582 eV per atom.


[5]
Material: FeAs
Method: DFT, PBE
State: relaxed

a b c (Å): 3.305 5.998 5.394
angles (deg): 90.00 90.00 90.00
Each line ends with the local moment (μB).
Fractional positions:
Fe 0.750 0.300 0.000  0.53
Fe 0.250 0.700 0.000  0.53
Fe 0.250 0.800 0.500  0.53
Fe 0.750 0.200 0.500  0.53
As 0.250 0.424 0.301  -0.03
As 0.750 0.924 0.199  -0.03
As 0.250 0.076 0.801  -0.03
As 0.750 0.576 0.699  -0.03

Calculated values
The value obtained for the mass density is 8.12 g cm⁻³. The value obtained for the formation energy from the elements is -204 meV per atom.


[6]
Material: CaCuNi2H8
Method: DFT, PBE
State: relaxed

a b c (Å): 4.470 4.470 5.971
angles (deg): 68.02 68.02 60.00
Fractional positions:
Ca 0.500 0.500 0.500
H 0.203 0.203 0.391
H 0.320 0.910 0.145
H 0.626 0.320 0.145
H 0.374 0.680 0.855
H 0.090 0.374 0.855
H 0.910 0.626 0.145
H 0.797 0.797 0.609
H 0.680 0.090 0.855
Ni 0.699 0.699 0.904
Ni 0.301 0.301 0.096
Cu 0.000 0.000 0.000

Calculated values
The value obtained for the mass density is 4.08 g cm⁻³. The calculation puts the total energy at -0.1393 hartree per atom.


[7]
Material: Ac4IrPtCl2
Method: DFT, PBE
State: relaxed

a b c (Å): 4.378 7.627 8.372
angles (deg): 108.20 90.00 90.00
Fractional positions:
Pt 0.000 0.000 0.000
Ir 0.500 0.500 0.000
Ac 0.000 0.730 0.202
Ac 0.500 0.759 0.798
Ac 0.000 0.270 0.798
Ac 0.500 0.241 0.202
Cl 0.000 0.500 0.500
Cl 0.500 0.000 0.500

Calculated values
The value obtained for the mass density is 8.54 g cm⁻³. Its formation energy from raw total energies is -1.373 eV per atom.


[8]
Material: Cd7SnHg2
Method: DFT, PBE
State: relaxed

a b c (Å): 4.816 8.584 8.584
angles (deg): 123.98 90.00 90.00
Fractional positions:
Cd 0.500 0.918 0.709
Cd 0.500 0.500 0.500
Cd 0.500 0.709 0.918
Cd 0.000 0.799 0.201
Cd 0.500 0.082 0.291
Cd 0.000 0.201 0.799
Cd 0.500 0.291 0.082
Hg 0.500 0.300 0.700
Hg 0.500 0.700 0.300
Sn 0.000 0.000 0.000

Calculated values
The value obtained for the mass density is 7.38 g cm⁻³. The value obtained for the formation energy from the elements is 134 meV per atom. The distance to the lowest polymorph of the same formula is 106.6 meV/atom.


[9]
Material: RhSe2Cl
Method: DFT, PBE
State: relaxed

a b c (Å): 9.220 9.220 9.220
angles (deg): 21.35 21.35 21.35
Fractional positions:
Se 0.024 0.024 0.024
Se 0.267 0.267 0.267
Cl 0.468 0.468 0.468
Rh 0.741 0.741 0.741

Calculated values
The value obtained for the mass density is 5.41 g cm⁻³. The distance to the lowest polymorph of the same formula is 262.6 meV/atom. Its formation energy from raw total energies is -0.078 eV per atom.


[10]
Material: SiTcN2O
Method: DFT, PBE
State: relaxed

a b c (Å): 3.923 3.923 3.838
angles (deg): 90.00 90.00 90.00
Fractional positions:
O 0.000 0.000 0.500
N 0.500 0.000 0.000
N 0.000 0.500 0.000
Si 0.500 0.500 0.500
Tc 0.000 0.000 0.000

Calculated values
The value obtained for the mass density is 4.78 g cm⁻³. Its formation energy from raw total energies is 0.452 eV per atom.


[11]
Material: YNb
Method: DFT, PBE
State: relaxed

a b c (Å): 5.942 5.942 5.982
angles (deg): 90.00 90.00 90.00
Fractional positions:
Y 0.681 0.319 0.000
Y 0.819 0.819 0.500
Y 0.181 0.181 0.500
Y 0.319 0.681 0.000
Nb 0.849 0.849 0.000
Nb 0.151 0.151 0.000
Nb 0.651 0.349 0.500
Nb 0.349 0.651 0.500

Calculated values
The value obtained for the mass density is 5.72 g cm⁻³. The value obtained for the formation energy from the elements is 896 meV per atom. The distance to the lowest polymorph of the same formula is 776.1 meV/atom.


[12]
Material: PuTaFe2
Method: DFT, PBE
State: relaxed

a b c (Å): 3.072 3.072 6.843
angles (deg): 90.00 90.00 90.00
Each line ends with the local moment (μB).
Fractional positions:
Pu 0.500 0.500 0.500  5.13
Fe 0.000 0.000 0.787  -1.47
Fe 0.000 0.000 0.213  -1.47
Ta 0.500 0.500 0.000  0.40

Calculated values
The value obtained for the mass density is 13.80 g cm⁻³. The value obtained for the formation energy from the elements is 21 meV per atom.


> Which value of mass density does entry 1 give?

12.72 g cm⁻³


> Among the records above, which one has the highest mass density?

PuTaFe2